1.
Below is a relaxed Si2AsAu crystal, with properties calculated at the PBE level.

## Properties
* raw total energy: -16.94 eV/cell
* SG: Cmmm

Cell lengths 2.7799, 2.7799, 9.1333 Å; angles 90.00, 90.00, 96.56 degrees
Last column: nearest neighbours and their distance in Å.
Atoms (fractional coordinates):
Si (0.0000, 0.0000, 0.9864)  4 Si 2.78, 4 Au 2.84-2.99, 2 As 3.04
Si (0.0000, 0.0000, 0.5136)  4 Si 2.78, 4 Au 2.84-2.99, 2 As 3.04
Au (0.5000, 0.5000, 0.7500)  4 Au 2.78, 8 Si 2.84-2.99
As (0.5000, 0.5000, 0.2500)  4 As 2.78, 4 Si 3.04


2.
Below is a relaxed HgBi2Au crystal, with properties calculated at the PBE level.

## Properties
* raw total energy: -21.79 eV/cell
* SG: I-42d
* E_form: 111.6 meV per atom

Cell lengths 4.6557, 4.6557, 11.2324 Å; angles 78.04, 78.04, 90.00 degrees
Last column: nearest neighbours and their distance in Å.
Atoms (fractional coordinates):
Bi (0.8750, 0.8415, 0.7500)  2 Bi 3.08, 2 Au 3.09, 2 Hg 3.21
Bi (0.5915, 0.1250, 0.2500)  2 Bi 3.08, 2 Au 3.09, 2 Hg 3.21
Hg (0.0000, 0.0000, 0.0000)  4 Bi 3.21, 4 Au 3.29
Bi (0.1585, 0.6250, 0.2500)  2 Bi 3.08, 2 Au 3.09, 2 Hg 3.21
Au (0.5000, 0.5000, 0.0000)  4 Bi 3.09, 4 Hg 3.29
Hg (0.7500, 0.2500, 0.5000)  4 Bi 3.21, 4 Au 3.29
Au (0.2500, 0.7500, 0.5000)  4 Bi 3.09, 4 Hg 3.29
Bi (0.3750, 0.4085, 0.7500)  2 Bi 3.08, 2 Au 3.09, 2 Hg 3.21


3.
Below is a relaxed PrZn4Cd12 crystal, with properties calculated at the PBE level.

## Properties
* raw total energy: -18.98 eV/cell
* SG: Im-3
* E_form: 110.4 meV per atom

Cell lengths 8.2057, 8.2057, 8.2057 Å; angles 109.47, 109.47, 109.47 degrees
Last column: nearest neighbours and their distance in Å.
Atoms (fractional coordinates):
Cd (0.4993, 0.1547, 0.3445)  2 Zn 2.69, 2 Cd 2.93-2.95
Zn (0.0000, 0.5000, 0.0000)  6 Cd 2.69
Cd (0.8102, 0.1547, 0.6555)  2 Zn 2.69, 2 Cd 2.93-2.95
Cd (0.3445, 0.4993, 0.1547)  2 Zn 2.69, 2 Cd 2.93-2.95
Cd (0.8453, 0.3445, 0.1898)  2 Zn 2.69, 2 Cd 2.93-2.95
Cd (0.1898, 0.8453, 0.3445)  2 Zn 2.69, 2 Cd 2.93-2.95
Cd (0.5007, 0.8453, 0.6555)  2 Zn 2.69, 2 Cd 2.93-2.95
Cd (0.3445, 0.1898, 0.8453)  2 Zn 2.69, 2 Cd 2.93-2.95
Zn (0.0000, 0.0000, 0.5000)  6 Cd 2.69
Cd (0.6555, 0.5007, 0.8453)  2 Zn 2.69, 2 Cd 2.93-2.95
Cd (0.6555, 0.8102, 0.1547)  2 Zn 2.69, 2 Cd 2.93-2.95
Zn (0.5000, 0.5000, 0.5000)  6 Cd 2.69
Cd (0.1547, 0.3445, 0.4993)  2 Zn 2.69, 2 Cd 2.93-2.95
Zn (0.5000, 0.0000, 0.0000)  6 Cd 2.69
Cd (0.1547, 0.6555, 0.8102)  2 Zn 2.69, 2 Cd 2.93-2.95
Pr (0.0000, 0.0000, 0.0000)  12 Cd 3.58
Cd (0.8453, 0.6555, 0.5007)  2 Zn 2.69, 2 Cd 2.93-2.95


no.,mass density (g/cm³),M_tot (μB per formula unit)
1,7.769,0.0
2,11.635,0.0
3,6.838,0.0